An optimized crystal structure of Ta3VRe2. Source: the Alexandria database, functional PBE-GGA.

Values from the calculation:
The formation energy is -318 meV per atom. The space-group type is No. 123. The total magnetization comes out at 0.0 Bohr magnetons per cell.

Unit cell a=3.187 b=3.187 c=9.604 alpha=90.00 beta=90.00 gamma=90.00
Fractional coordinates of all 6 atoms:
Ta (0.000, 0.000, 0.000)
Ta (0.000, 0.000, 0.334)
Ta (0.000, 0.000, 0.666)
V (0.500, 0.500, 0.500)
Re (0.500, 0.500, 0.167)
Re (0.500, 0.500, 0.833)

***

An optimized crystal structure of TaV3Re. Source: the Alexandria database, functional PBE-GGA.

Values from the calculation:
The energy above the most stable polymorph in this dataset is 0.052 eV/atom. The formation energy is 73 meV per atom. The space-group type is No. 11. The total magnetization comes out at 0.0 Bohr magnetons per cell.

Unit cell a=5.170 b=5.129 c=5.707 alpha=90.00 beta=90.45 gamma=90.00
Fractional coordinates of all 10 atoms:
Ta (0.129, 0.250, 0.365)
Ta (0.871, 0.750, 0.635)
V (0.363, 0.003, 0.819)
V (0.363, 0.497, 0.819)
V (0.368, 0.750, 0.451)
V (0.632, 0.250, 0.549)
V (0.637, 0.503, 0.181)
V (0.637, 0.997, 0.181)
Re (0.078, 0.750, 0.104)
Re (0.922, 0.250, 0.896)

***

An optimized crystal structure of Ta4VRe3. Source: the Alexandria database, functional PBE-GGA.

Values from the calculation:
The formation energy is -345 meV per atom. The space-group type is No. 123. The total magnetization comes out at 0.0 Bohr magnetons per cell.

Unit cell a=3.192 b=3.192 c=12.814 alpha=90.00 beta=90.00 gamma=90.00
Fractional coordinates of all 8 atoms:
Ta (0.000, 0.000, 0.125)
Ta (0.000, 0.000, 0.375)
Ta (0.000, 0.000, 0.625)
Ta (0.000, 0.000, 0.875)
V (0.500, 0.500, 0.000)
Re (0.500, 0.500, 0.249)
Re (0.500, 0.500, 0.500)
Re (0.500, 0.500, 0.751)

***

An optimized crystal structure of Ta3V8Re. Source: the Alexandria database, functional PBE-GGA.

Values from the calculation:
The formation energy is -153 meV per atom. The space-group type is No. 160. The total magnetization comes out at 0.0 Bohr magnetons per cell.

Unit cell a=8.667 b=8.667 c=8.667 alpha=33.58 beta=33.58 gamma=33.58
Fractional coordinates of all 12 atoms:
Ta (0.000, 0.000, 0.000)
Ta (0.126, 0.126, 0.126)
Ta (0.624, 0.624, 0.624)
V (0.062, 0.062, 0.561)
V (0.062, 0.561, 0.062)
V (0.064, 0.563, 0.563)
V (0.312, 0.312, 0.312)
V (0.561, 0.062, 0.062)
V (0.563, 0.064, 0.563)
V (0.563, 0.563, 0.064)
V (0.813, 0.813, 0.813)
Re (0.500, 0.500, 0.500)

***

An optimized crystal structure of Ta6VRe5. Source: the Alexandria database, functional PBE-GGA.

Values from the calculation:
The formation energy is -384 meV per atom. The space-group type is No. 65. The total magnetization comes out at 0.0 Bohr magnetons per cell.

Unit cell a=7.148 b=7.148 c=6.388 alpha=90.00 beta=90.00 gamma=143.07
Fractional coordinates of all 12 atoms:
Ta (0.000, 0.000, 0.248)
Ta (0.000, 0.000, 0.752)
Ta (0.334, 0.666, 0.249)
Ta (0.334, 0.666, 0.751)
Ta (0.666, 0.334, 0.249)
Ta (0.666, 0.334, 0.751)
V (0.500, 0.500, 0.000)
Re (0.166, 0.834, 0.000)
Re (0.167, 0.833, 0.500)
Re (0.500, 0.500, 0.500)
Re (0.833, 0.167, 0.500)
Re (0.834, 0.166, 0.000)

***

An optimized crystal structure of Ta2V3Re. Source: the Alexandria database, functional PBE-GGA.

Values from the calculation:
The formation energy is -285 meV per atom. The space-group type is No. 166. The total magnetization comes out at 0.0 Bohr magnetons per cell.

Unit cell a=5.089 b=5.089 c=5.089 alpha=59.86 beta=59.86 gamma=59.86
Fractional coordinates of all 6 atoms:
Ta (0.125, 0.125, 0.125)
Ta (0.875, 0.875, 0.875)
V (0.000, 0.500, 0.500)
V (0.500, 0.000, 0.500)
V (0.500, 0.500, 0.000)
Re (0.500, 0.500, 0.500)

***

An optimized crystal structure of TaVRe2. Source: the Alexandria database, functional PBE-GGA.

Values from the calculation:
The formation energy is 646 meV per atom. The space-group type is No. 71. The total magnetization comes out at 0.0 Bohr magnetons per cell.

Unit cell a=2.809 b=4.568 c=10.295 alpha=90.00 beta=90.00 gamma=90.00
Fractional coordinates of all 8 atoms:
Ta (0.000, 0.000, 0.000)
Ta (0.500, 0.500, 0.500)
V (0.000, 0.000, 0.500)
V (0.500, 0.500, 0.000)
Re (0.000, 0.000, 0.276)
Re (0.000, 0.000, 0.724)
Re (0.500, 0.500, 0.224)
Re (0.500, 0.500, 0.776)

***

An optimized crystal structure of TaV3Re. Source: the Alexandria database, functional PBE-GGA.

Values from the calculation:
The energy above the most stable polymorph in this dataset is 1.238 eV/atom. The formation energy is 1260 meV per atom. The space-group type is No. 221. The total magnetization comes out at 2.0 Bohr magnetons per cell.

Unit cell a=4.533 b=4.533 c=4.533 alpha=90.00 beta=90.00 gamma=90.00
Fractional coordinates of all 5 atoms:
Ta (0.000, 0.000, 0.000)
V (0.000, 0.500, 0.500)
V (0.500, 0.000, 0.500)
V (0.500, 0.500, 0.000)
Re (0.500, 0.500, 0.500)

***

The calculation returns the following total DFT energy (no corrections) values, one per record and in order: -11.914; -10.258; -12.079; -10.232; -12.256; -10.870; -10.821; -9.072 eV per atom.
The calculation returns the following mass density values, one per record and in order: 16.45; 11.41; 16.96; 10.64; 17.51; 12.52; 15.19; 9.27 g cm⁻³.